## CrPt2 (PBEsol)

Data for a geometry-optimized CrPt2 structure.

a = 10.007 Å, b = 2.761 Å, c = 6.378 Å
α = 90.00°, β = 105.42°, γ = 90.00°
Space group Cm (No. 8)
Inequivalent atoms, fractional coordinates:
Cr: 0.000 0.000 0.000 (multiplicity 2)
Cr: 0.155 0.500 0.307 (multiplicity 2)
Pt: 0.053 0.000 0.582 (multiplicity 2)
Pt: 0.206 0.500 0.932 (multiplicity 2)
Pt: 0.332 0.000 0.660 (multiplicity 2)
Pt: 0.382 0.000 0.255 (multiplicity 2)

Summary:
The volume comes out at 14.15 Å³ per atom. Its density of states at the Fermi level is 14.6 states/eV/cell. For the density, the calculation gives 17.29 g/cm3. The magnetic moment comes out at 0.90 μB per cell. The total DFT energy (no corrections) is -8.142 eV/atom.



## InMo2Pt (PBEsol)

Data for a geometry-optimized InMo2Pt structure.

a = 3.803 Å, b = 3.803 Å, c = 4.457 Å
α = 90.00°, β = 90.00°, γ = 90.00°
Space group P4/mmm (No. 123)
Inequivalent atoms, fractional coordinates:
In: 0.000 0.000 0.000 (multiplicity 1)
Mo: 0.000 0.500 0.500 (multiplicity 2)
Pt: 0.500 0.500 0.000 (multiplicity 1)

Summary:
The volume comes out at 16.12 Å³ per atom. Its density of states at the Fermi level is 2.5 states/eV/cell. For the density, the calculation gives 12.92 g/cm3. The magnetic moment comes out at 0.00 μB per cell. The total DFT energy (no corrections) is -8.356 eV/atom.



## NdSmFe4Co13 (PBEsol)

Data for a geometry-optimized NdSmFe4Co13 structure.

a = 8.2402 Å, b = 8.2402 Å, c = 12.0676 Å
α = 90.00°, β = 90.00°, γ = 120.00°
Space group R3m (No. 160, hexagonal axes)
Inequivalent atoms, fractional coordinates:
Nd: 0.0000 0.0000 0.0000 (multiplicity 3)
Sm: 0.0000 0.0000 0.3121 (multiplicity 3)
Fe: 0.0000 0.0000 0.5619 (multiplicity 3)
Fe: 0.1685 0.3369 0.4890 (multiplicity 9)
Co: 0.0000 0.0000 0.7519 (multiplicity 3)
Co: 0.9999 0.2865 0.6558 (multiplicity 18)
Co: 0.9999 0.5000 0.5004 (multiplicity 9)
Co: 0.1681 0.3362 0.1441 (multiplicity 9)

Summary:
The volume comes out at 12.45 Å³ per atom. Its density of states at the Fermi level is 64.2 states/eV/cell. For the density, the calculation gives 9.01 g/cm3. The magnetic moment comes out at 83.14 μB per cell. The total DFT energy (no corrections) is -7.763 eV/atom.



## BaInTe2 (PBEsol)

Data for a geometry-optimized BaInTe2 structure.

a = 7.027 Å, b = 7.027 Å, c = 15.568 Å
α = 90.00°, β = 90.00°, γ = 90.00°
Space group I-42d (No. 122)
Inequivalent atoms, fractional coordinates:
Ba: 0.000 0.000 0.000 (multiplicity 4)
In: 0.000 0.000 0.500 (multiplicity 4)
Te: 0.196 0.250 0.625 (multiplicity 8)

Summary:
The volume comes out at 48.04 Å³ per atom. Its density of states at the Fermi level is 5.5 states/eV/cell. For the density, the calculation gives 4.38 g/cm3. The magnetic moment comes out at 0.00 μB per cell. The value obtained for the uncorrected formation energy is -0.725 eV/atom. The total DFT energy (no corrections) is -3.771 eV/atom.



## TaMnRe2 (PBEsol)

Data for a geometry-optimized TaMnRe2 structure.

a = 6.156 Å, b = 6.156 Å, c = 6.156 Å
α = 90.00°, β = 90.00°, γ = 90.00°
Space group F-43m (No. 216)
Inequivalent atoms, fractional coordinates:
Ta: 0.000 0.000 0.000 (multiplicity 4)
Mn: 0.250 0.250 0.750 (multiplicity 4)
Re: 0.000 0.000 0.500 (multiplicity 4)
Re: 0.250 0.250 0.250 (multiplicity 4)

Summary:
The volume comes out at 14.58 Å³ per atom. Its density of states at the Fermi level is 15.4 states/eV/cell. For the density, the calculation gives 17.32 g/cm3. The magnetic moment comes out at 7.99 μB per cell. The total DFT energy (no corrections) is -12.245 eV/atom.



## TaSbTe2Pd (PBEsol)

Data for a geometry-optimized TaSbTe2Pd structure.

a = 5.134 Å, b = 5.134 Å, c = 4.983 Å
α = 90.00°, β = 90.00°, γ = 90.00°
Space group P4/mmm (No. 123)
Inequivalent atoms, fractional coordinates:
Ta: 0.000 0.000 0.000 (multiplicity 1)
Sb: 0.500 0.500 0.000 (multiplicity 1)
Te: 0.000 0.500 0.500 (multiplicity 2)
Pd: 0.500 0.500 0.500 (multiplicity 1)

Summary:
The volume comes out at 26.27 Å³ per atom. Its density of states at the Fermi level is 5.3 states/eV/cell. For the density, the calculation gives 8.40 g/cm3. The magnetic moment comes out at 1.92 μB per cell. The value obtained for the uncorrected formation energy is 0.953 eV/atom. The total DFT energy (no corrections) is -5.071 eV/atom.



- Which of these has the highest total DFT energy (no corrections)?
  BaInTe2



- Which of these has the highest density of states at the Fermi level?
  NdSmFe4Co13